Tb2HoSe | PBE | optimized geometry

**Polymorph energy (0 for the lowest one)**: 271 meV per atom
**Space group**: R-3m
**Volume**: 30.984 Å³/atom
**N(E_F)**: 5.05 states/eV per cell
**Density**: 7.53 Mg/m³

a b c (Å): 3.722 3.722 10.549
angles (deg): 79.84 79.84 60.00
Atoms (fractional coordinates):
Ho: 0.000 0.000 0.000
Se: 0.500 0.500 0.500
Tb: 0.892 0.892 0.325
Tb: 0.108 0.108 0.675